Record 1
VASP calculation (PBEsol) on a relaxed structure of NbAsPCl2.

```
NbAsPCl2
1.0
4.676 0.000 0.000
0.000 4.676 0.000
0.000 0.000 5.111
Nb As P Cl
1 1 1 2
Cartesian
0.000 0.000 0.000
2.338 2.338 2.556
0.000 0.000 2.556
0.000 2.338 0.000
2.338 0.000 0.000
```

Calculated values
Size of the total moment (μB per formula unit): 1.830
Relative energy among the computed polymorphs (meV per atom): 0
Formation energy from raw total energies (meV per atom): 137
Density (g/cm3): 4.01
Total energy (eV per atom): -5.010
N(E_F) (states/eV per atom): 0.67

Record 2
VASP calculation (PBEsol) on a relaxed structure of ScTaCo2.

```
ScTaCo2
1.0
-1.625 1.965 4.450
1.625 -1.965 4.450
1.625 1.965 -4.450
Sc Ta Co
1 1 2
Cartesian
0.000 0.000 0.000
1.625 0.000 2.318
0.000 0.000 4.324
0.000 1.965 2.241
```

Calculated values
Size of the total moment (μB per formula unit): 0.000
Density (g/cm3): 10.04
Total energy (eV per atom): -8.734
N(E_F) (states/eV per atom): 0.65

Record 3
VASP calculation (PBEsol) on a relaxed structure of CaSe2O6.

```
CaSe2O6
1.0
6.891 0.000 0.000
0.000 11.481 0.000
-5.556 0.000 7.014
Ca Se O
4 8 24
Cartesian
0.172 0.951 1.748
-2.606 4.789 5.255
3.941 6.692 1.758
1.163 10.529 5.265
-3.293 1.545 5.847
-0.515 4.196 2.340
-1.977 8.011 5.130
0.801 9.211 1.623
0.534 2.270 5.391
3.312 3.470 1.884
1.850 7.285 4.673
4.628 9.936 1.166
-3.903 8.553 5.126
-1.125 8.668 1.619
-3.640 0.192 4.993
-0.862 5.549 1.487
-2.157 6.841 3.942
0.621 10.380 0.435
-1.929 2.359 5.352
0.849 3.382 1.845
2.239 1.347 0.470
-0.538 4.393 3.977
-1.973 7.010 6.472
0.805 10.211 2.965
0.530 1.270 4.049
3.308 4.470 0.542
1.873 7.088 3.037
-0.905 10.134 6.544
0.486 8.099 5.169
3.264 9.122 1.662
0.714 1.101 6.579
3.492 4.640 3.072
2.197 5.932 5.527
4.975 11.289 2.020
2.460 2.813 5.394
5.238 2.928 1.887
```

Calculated values
Size of the total moment (μB per formula unit): 0.000
Formation energy from raw total energies (meV per atom): -1308
Density (g/cm3): 3.52
Total energy (eV per atom): -5.901
N(E_F) (states/eV per atom): 0.00

Record 4
VASP calculation (PBEsol) on a relaxed structure of AlCd2Pb.

```
AlCd2Pb
1.0
-2.161 2.161 4.881
2.161 -2.161 4.881
2.161 2.161 -4.881
Al Cd Pb
1 2 1
Cartesian
0.000 0.000 0.000
2.161 0.000 2.440
0.000 2.161 2.440
0.000 0.000 4.881
```

Calculated values
Size of the total moment (μB per formula unit): 0.000
Relative energy among the computed polymorphs (meV per atom): 40
Density (g/cm3): 8.36
Total energy (eV per atom): -2.449
N(E_F) (states/eV per atom): 0.43

Record 5
VASP calculation (PBEsol) on a relaxed structure of MgInCl2.

```
MgInCl2
1.0
-1.670 2.199 6.753
1.670 -2.199 6.753
1.670 2.199 -6.753
Mg In Cl
1 1 2
Cartesian
0.000 0.000 0.000
0.000 2.199 3.899
1.670 0.000 1.805
0.000 0.000 6.040
```

Calculated values
Size of the total moment (μB per formula unit): 0.000
Relative energy among the computed polymorphs (meV per atom): 280
Formation energy from raw total energies (meV per atom): -920
Density (g/cm3): 3.52
Total energy (eV per atom): -3.099
N(E_F) (states/eV per atom): 0.24

Record 6
VASP calculation (PBEsol) on a relaxed structure of SnTeSI2.

```
SnTeSI2
1.0
5.324 0.000 0.000
0.000 5.324 0.000
0.000 0.000 5.467
Sn Te S I
1 1 1 2
Cartesian
0.000 0.000 0.000
2.662 2.662 0.000
2.662 2.662 2.734
0.000 2.662 2.734
2.662 0.000 2.734
```

Calculated values
Size of the total moment (μB per formula unit): 0.000
Formation energy from raw total energies (meV per atom): 234
Density (g/cm3): 5.70
Total energy (eV per atom): -2.907
N(E_F) (states/eV per atom): 0.53